Computed, not measured: a relaxed Mn2SiP crystal at the PBEsol level of DFT.

Properties
Formation energy from raw total energies, meV per atom: -394

abc: 2.9832 2.9832 4.9703
angles: 90.00 90.00 90.00
Closest atoms and distances in Å follow each position.
Positions (direct):
Mn (0.0000, 0.0000, 0.0000)  4 Si 2.32, 2 P 2.41-2.56
Mn (0.5000, 0.5000, 0.3303)  4 P 2.30, 1 Si 2.37
Si (0.5000, 0.5000, 0.8069)  5 Mn 2.32-2.37, 4 P 2.56
P (0.0000, 0.0000, 0.5147)  6 Mn 2.30-2.56, 4 Si 2.56

---

Computed, not measured: a relaxed La3BCCl3 crystal at the PBEsol level of DFT.

Properties
Formation energy from raw total energies, meV per atom: -1489

abc: 8.1988 3.7067 11.1958
angles: 90.00 100.90 90.00
Closest atoms and distances in Å follow each position.
Positions (direct):
La (0.1084, 0.2500, 0.3118)  2 C 2.57, 3 B 2.74-2.88
La (0.2156, 0.2500, 0.9001)  1 C 2.43
La (0.2955, 0.7500, 0.6119)  2 C 2.63, 3 B 2.83-2.91, 1 Cl 2.92
La (0.7045, 0.2500, 0.3881)  2 C 2.63, 3 B 2.83-2.91, 1 Cl 2.92
La (0.7844, 0.7500, 0.0999)  1 C 2.43
La (0.8916, 0.7500, 0.6882)  2 C 2.57, 3 B 2.74-2.88
B (0.0344, 0.2500, 0.5406)  1 C 1.59
B (0.9656, 0.7500, 0.4594)  1 C 1.59
C (0.1073, 0.2500, 0.6827)  1 B 1.59
C (0.8927, 0.7500, 0.3173)  1 B 1.59
Cl (0.1438, 0.7500, 0.0961)  5 La 2.95-3.10
Cl (0.4059, 0.7500, 0.3752)  5 La 2.96-3.05
Cl (0.4706, 0.7500, 0.8643)  3 La 2.88-2.92
Cl (0.5294, 0.2500, 0.1357)  3 La 2.88-2.92
Cl (0.5941, 0.2500, 0.6248)  5 La 2.96-3.05
Cl (0.8562, 0.2500, 0.9039)  5 La 2.95-3.10

---

Computed, not measured: a relaxed IrRuRh crystal at the PBEsol level of DFT.

Properties
Energy of formation, eV per atom: -0.027
Polymorph energy (0 for the lowest one), meV per atom: 0

abc: 4.6419 4.6419 4.6419
angles: 146.47 131.88 59.92
Closest atoms and distances in Å follow each position.
Positions (direct):
Ir (0.0000, 0.0000, 0.0000)  5 Rh 2.65-2.69, 5 Ru 2.66-2.72, 2 Ir 2.68
Ru (0.3383, 0.3383, 0.0000)  5 Ir 2.66-2.72, 5 Rh 2.67-2.68, 2 Ru 2.68
Rh (0.6705, 0.6705, 0.0000)  5 Ir 2.65-2.69, 5 Ru 2.67-2.68, 2 Rh 2.68

---

Computed, not measured: a relaxed SrAl2Au3 crystal at the PBEsol level of DFT.

Properties
Energy of formation, eV per atom: -0.655

abc: 13.1205 5.4661 6.8593
angles: 90.00 90.00 90.00
Closest atoms and distances in Å follow each position.
Positions (direct):
Sr (0.0895, 0.2500, 0.1549)  9 Au 3.28-3.47
Sr (0.4105, 0.7500, 0.6549)  9 Au 3.28-3.47
Sr (0.5895, 0.2500, 0.3451)  9 Au 3.28-3.47
Sr (0.9105, 0.7500, 0.8451)  9 Au 3.28-3.47
Al (0.1505, 0.0001, 0.6418)  6 Au 2.52-2.81, 2 Al 2.73
Al (0.1505, 0.4999, 0.6418)  6 Au 2.52-2.81, 2 Al 2.73
Al (0.3495, 0.9999, 0.1418)  6 Au 2.52-2.81, 2 Al 2.73
Al (0.3495, 0.5001, 0.1418)  6 Au 2.52-2.81, 2 Al 2.73
Al (0.6505, 0.0001, 0.8582)  6 Au 2.52-2.81, 2 Al 2.73
Al (0.6505, 0.4999, 0.8582)  6 Au 2.52-2.81, 2 Al 2.73
Al (0.8495, 0.9999, 0.3582)  6 Au 2.52-2.81, 2 Al 2.73
Al (0.8495, 0.5001, 0.3582)  6 Au 2.52-2.81, 2 Al 2.73
Au (0.0092, 0.7500, 0.4064)  4 Al 2.52-2.81, 1 Au 2.76
Au (0.1938, 0.7500, 0.9438)  4 Al 2.55-2.81, 1 Au 2.78
Au (0.2176, 0.7500, 0.3467)  4 Al 2.60-2.62, 2 Au 2.76-2.78
Au (0.2824, 0.2500, 0.8467)  4 Al 2.60-2.62, 2 Au 2.76-2.78
Au (0.3062, 0.2500, 0.4438)  4 Al 2.55-2.81, 1 Au 2.78
Au (0.4908, 0.2500, 0.9064)  4 Al 2.52-2.81, 1 Au 2.76
Au (0.5092, 0.7500, 0.0936)  4 Al 2.52-2.81, 1 Au 2.76
Au (0.6938, 0.7500, 0.5562)  4 Al 2.55-2.81, 1 Au 2.78
Au (0.7176, 0.7500, 0.1533)  4 Al 2.60-2.62, 2 Au 2.76-2.78
Au (0.7824, 0.2500, 0.6533)  4 Al 2.60-2.62, 2 Au 2.76-2.78
Au (0.8062, 0.2500, 0.0562)  4 Al 2.55-2.81, 1 Au 2.78
Au (0.9908, 0.2500, 0.5936)  4 Al 2.52-2.81, 1 Au 2.76

---

Computed, not measured: a relaxed Mg2AlZn crystal at the PBEsol level of DFT.

Properties
Energy of formation, eV per atom: -0.006

abc: 5.0876 5.0876 5.0876
angles: 131.24 131.24 71.43
Closest atoms and distances in Å follow each position.
Positions (direct):
Mg (0.2500, 0.7500, 0.5000)  4 Zn 2.95, 4 Al 2.95, 4 Mg 2.97
Mg (0.7500, 0.2500, 0.5000)  4 Zn 2.95, 4 Al 2.95, 4 Mg 2.97
Al (0.0000, 0.0000, 0.0000)  8 Mg 2.95, 4 Zn 2.97
Zn (0.5000, 0.5000, 0.0000)  8 Mg 2.95, 4 Al 2.97

---

Computed, not measured: a relaxed EuSeO3 crystal at the PBEsol level of DFT.

Properties
Formation energy from raw total energies, meV per atom: -1867

abc: 4.3377 5.3453 6.3649
angles: 90.00 106.54 90.00
Closest atoms and distances in Å follow each position.
Positions (direct):
Eu (0.1635, 0.2500, 0.3047)  7 O 2.55-2.60
Eu (0.8365, 0.7500, 0.6953)  7 O 2.55-2.60
Se (0.4341, 0.2500, 0.8563)  3 O 1.73-1.75
Se (0.5659, 0.7500, 0.1437)  3 O 1.73-1.75
O (0.1547, 0.7500, 0.1072)  1 Se 1.73
O (0.3163, 0.0078, 0.6651)  1 Se 1.75
O (0.3163, 0.4922, 0.6651)  1 Se 1.75
O (0.6837, 0.5078, 0.3349)  1 Se 1.75
O (0.6837, 0.9922, 0.3349)  1 Se 1.75
O (0.8453, 0.2500, 0.8928)  1 Se 1.73

---

Computed, not measured: a relaxed GaPOsS2 crystal at the PBEsol level of DFT.

Properties
Formation energy from raw total energies, meV per atom: 496

abc: 4.7122 4.7122 4.4696
angles: 90.00 90.00 90.00
Closest atoms and distances in Å follow each position.
Positions (direct):
Ga (0.0000, 0.0000, 0.0000)  8 S 3.25, 4 P 3.33
P (0.5000, 0.5000, 0.0000)  2 Os 2.23
Os (0.5000, 0.5000, 0.5000)  2 P 2.23, 4 S 2.36
S (0.0000, 0.5000, 0.5000)  2 Os 2.36
S (0.5000, 0.0000, 0.5000)  2 Os 2.36

---

Computed, not measured: a relaxed MgHg2Pb crystal at the PBEsol level of DFT.

Properties
Energy of formation, eV per atom: -0.087

abc: 5.3576 5.3576 3.4631
angles: 90.42 90.42 105.80
Closest atoms and distances in Å follow each position.
Positions (direct):
Mg (0.0000, 0.0000, 0.0000)  8 Hg 3.18-3.20, 2 Pb 3.23, 2 Mg 3.46
Hg (0.0000, 0.5000, 0.5000)  4 Pb 3.18-3.20, 4 Mg 3.18-3.20, 4 Hg 3.23-3.46
Hg (0.5000, 0.0000, 0.5000)  4 Pb 3.18-3.20, 4 Mg 3.18-3.20, 4 Hg 3.23-3.46
Pb (0.5000, 0.5000, 0.0000)  8 Hg 3.18-3.20, 2 Mg 3.23, 2 Pb 3.46

---

Computed, not measured: a relaxed SrLi3Zr crystal at the PBEsol level of DFT.

Properties
Energy of formation, eV per atom: 1.137

abc: 4.9497 4.9497 4.9497
angles: 90.00 90.00 90.00
Closest atoms and distances in Å follow each position.
Positions (direct):
Sr (0.0000, 0.0000, 0.0000)  6 Li 2.47
Li (0.0000, 0.0000, 0.5000)  2 Sr 2.47
Li (0.0000, 0.5000, 0.0000)  2 Sr 2.47
Li (0.5000, 0.0000, 0.0000)  2 Sr 2.47
Zr (0.5000, 0.5000, 0.5000)  12 Li 3.50

---

Computed, not measured: a relaxed Sr2PHN crystal at the PBEsol level of DFT.

abc: 5.6355 5.6355 3.6902
angles: 90.00 90.00 90.00
Closest atoms and distances in Å follow each position.
Positions (direct):
Sr (0.0000, 0.5000, 0.0000)  2 P 2.82
Sr (0.5000, 0.0000, 0.0000)  2 P 2.82
P (0.0000, 0.0000, 0.0000)  2 N 1.85
H (0.5000, 0.5000, 0.5000)  8 Sr 3.37, 2 H 3.69
N (0.0000, 0.0000, 0.5000)  2 P 1.85

---

Computed, not measured: a relaxed TaTeSe2 crystal at the PBEsol level of DFT.

Properties
Formation energy from raw total energies, meV per atom: 250

abc: 6.8063 6.8063 6.8063
angles: 119.02 119.02 91.70
Closest atoms and distances in Å follow each position.
Positions (direct):
Ta (0.0000, 0.0000, 0.0000)  4 Se 2.44
Ta (0.7500, 0.2500, 0.5000)  4 Se 2.44
Te (0.2500, 0.7500, 0.5000)  4 Se 3.04
Te (0.5000, 0.5000, 0.0000)  4 Se 3.04
Se (0.0560, 0.6250, 0.9310)  2 Ta 2.44
Se (0.3750, 0.3060, 0.4310)  2 Ta 2.44
Se (0.6940, 0.1250, 0.0690)  2 Ta 2.44
Se (0.8750, 0.9440, 0.5690)  2 Ta 2.44

---

Computed, not measured: a relaxed Li2ScZn crystal at the PBEsol level of DFT.

Properties
Energy of formation, eV per atom: -0.006

abc: 4.4278 5.7975 5.7975
angles: 29.83 90.00 90.00
Closest atoms and distances in Å follow each position.
Positions (direct):
Li (0.0000, 0.0000, 0.0000)  2 Zn 2.73, 6 Li 2.87-2.98, 3 Sc 2.97-3.04
Li (0.5000, 0.4064, 0.4064)  6 Li 2.87-2.98, 3 Zn 2.96-3.04
Sc (0.0000, 0.7288, 0.7288)  4 Zn 2.84, 3 Li 2.97-3.04, 2 Sc 2.98
Zn (0.5000, 0.1424, 0.1424)  5 Li 2.73-3.04, 4 Sc 2.84, 2 Zn 2.98

---

Computed, not measured: a relaxed LiYHf2C crystal at the PBEsol level of DFT.

Properties
Energy of formation, eV per atom: -0.082

abc: 4.4600 4.4600 4.9178
angles: 90.00 90.00 90.00
Closest atoms and distances in Å follow each position.
Positions (direct):
Li (0.0000, 0.0000, 0.0000)  4 Y 3.15, 8 Hf 3.32
Y (0.5000, 0.5000, 0.0000)  2 C 2.46
Hf (0.0000, 0.5000, 0.5000)  2 C 2.23
Hf (0.5000, 0.0000, 0.5000)  2 C 2.23
C (0.5000, 0.5000, 0.5000)  4 Hf 2.23, 2 Y 2.46

---

Computed, not measured: a relaxed LiCd2Pb crystal at the PBEsol level of DFT.

Properties
Energy of formation, eV per atom: -0.114

abc: 5.3641 5.3641 5.3641
angles: 130.33 130.33 72.88
Closest atoms and distances in Å follow each position.
Positions (direct):
Li (0.0000, 0.0000, 0.0000)  8 Cd 3.12-3.19, 4 Pb 3.12
Cd (0.5000, 0.5000, 0.0000)  4 Cd 3.12, 4 Pb 3.12, 4 Li 3.19
Cd (0.7500, 0.2500, 0.5000)  4 Cd 3.12, 4 Li 3.12, 4 Pb 3.19
Pb (0.2500, 0.7500, 0.5000)  8 Cd 3.12-3.19, 4 Li 3.12

---

Computed, not measured: a relaxed ZrIr2Se crystal at the PBEsol level of DFT.

Properties
Formation energy from raw total energies, meV per atom: -229

abc: 5.0578 5.0578 5.0578
angles: 134.53 134.53 66.26
Closest atoms and distances in Å follow each position.
Positions (direct):
Zr (0.0000, 0.0000, 0.0000)  8 Ir 2.76-2.88, 4 Se 2.88
Ir (0.5000, 0.5000, 0.0000)  4 Zr 2.76, 4 Se 2.88, 4 Ir 2.88
Ir (0.7500, 0.2500, 0.5000)  4 Se 2.76, 4 Ir 2.88, 4 Zr 2.88
Se (0.2500, 0.7500, 0.5000)  8 Ir 2.76-2.88, 4 Zr 2.88

---

Computed, not measured: a relaxed ScZnBr crystal at the PBEsol level of DFT.

Properties
Formation energy from raw total energies, meV per atom: -327
Polymorph energy (0 for the lowest one), meV per atom: 0

abc: 4.5805 4.5805 3.5400
angles: 90.00 90.00 120.00
Closest atoms and distances in Å follow each position.
Positions (direct):
Sc (0.0000, 0.0000, 0.0000)  3 Br 2.64
Zn (0.6667, 0.3333, 0.5000)  6 Sc 3.18, 6 Br 3.18, 2 Zn 3.54
Br (0.3333, 0.6667, 0.0000)  3 Sc 2.64

---

Computed, not measured: a relaxed Ta2BiS crystal at the PBEsol level of DFT.

Properties
Formation energy from raw total energies, meV per atom: 466
Polymorph energy (0 for the lowest one), meV per atom: 223

abc: 8.4968 8.4968 8.4968
angles: 146.43 146.43 48.20
Closest atoms and distances in Å follow each position.
Positions (direct):
Ta (0.0178, 0.6250, 0.8928)  2 S 2.40
Ta (0.3750, 0.2678, 0.3928)  2 S 2.40
Ta (0.7322, 0.1250, 0.1072)  2 S 2.40
Ta (0.8750, 0.9822, 0.6072)  2 S 2.40
Bi (0.2500, 0.7500, 0.5000)  4 Ta 2.89
Bi (0.5000, 0.5000, 0.0000)  4 Ta 2.89
S (0.0000, 0.0000, 0.0000)  4 Ta 2.40
S (0.7500, 0.2500, 0.5000)  4 Ta 2.40

---

Computed, not measured: a relaxed SrPAu crystal at the PBEsol level of DFT.

Properties
Energy of formation, eV per atom: -0.309

abc: 5.7761 5.7761 5.7761
angles: 143.55 143.55 52.50
Closest atoms and distances in Å follow each position.
Positions (direct):
Sr (0.0000, 0.0000, 0.0000)  1 P 2.93, 1 Au 3.00
P (0.2824, 0.2824, 0.0000)  4 Au 2.66, 1 Sr 2.93
Au (0.7107, 0.7107, 0.0000)  4 P 2.66

---

Computed, not measured: a relaxed SrAs2O6 crystal at the PBEsol level of DFT.

Properties
Formation energy from raw total energies, meV per atom: -1823

abc: 4.8978 4.8978 10.8626
angles: 90.00 90.00 120.00
Closest atoms and distances in Å follow each position.
Positions (direct):
Sr (0.0000, 0.0000, 0.2500)  6 O 2.51
Sr (0.0000, 0.0000, 0.7500)  6 O 2.51
As (0.3333, 0.6667, 0.0000)  6 O 1.85
As (0.3333, 0.6667, 0.5000)  6 O 1.85
As (0.6667, 0.3333, 0.0000)  6 O 1.85
As (0.6667, 0.3333, 0.5000)  6 O 1.85
O (0.0000, 0.3826, 0.0968)  2 As 1.85
O (0.0000, 0.3826, 0.4032)  2 As 1.85
O (0.0000, 0.6174, 0.5968)  2 As 1.85
O (0.0000, 0.6174, 0.9032)  2 As 1.85
O (0.3826, 0.0000, 0.0968)  2 As 1.85
O (0.3826, 0.0000, 0.4032)  2 As 1.85
O (0.3826, 0.3826, 0.5968)  2 As 1.85
O (0.3826, 0.3826, 0.9032)  2 As 1.85
O (0.6174, 0.0000, 0.5968)  2 As 1.85
O (0.6174, 0.0000, 0.9032)  2 As 1.85
O (0.6174, 0.6174, 0.0968)  2 As 1.85
O (0.6174, 0.6174, 0.4032)  2 As 1.85

---

Computed, not measured: a relaxed Zr2CuF crystal at the PBEsol level of DFT.

Properties
Formation energy from raw total energies, meV per atom: -601

abc: 4.4662 4.4662 4.4662
angles: 60.00 60.00 60.00
Closest atoms and distances in Å follow each position.
Positions (direct):
Zr (0.2500, 0.2500, 0.2500)  4 F 2.73, 4 Cu 2.73
Zr (0.7500, 0.7500, 0.7500)  4 F 2.73, 4 Cu 2.73
Cu (0.0000, 0.0000, 0.0000)  8 Zr 2.73
F (0.5000, 0.5000, 0.5000)  8 Zr 2.73

---

Sequential V output: 11.1; 20.9; 13.6; 20.5; 18.2; 14.1; 19.8; 23.9; 24.3; 23.4; 28.3; 18.5; 19.6; 21.9; 16.2; 21.4; 23.3; 22.5; 12.5; 15.7 Å³/atom
Sequential total energy output: -8.16; -6.33; -9.40; -4.29; -2.28; -7.90; -5.53; -1.80; -2.23; -4.12; -5.69; -3.04; -7.97; -2.20; -8.38; -3.68; -7.98; -4.16; -6.66; -6.71 eV/atom